K4Pu3BrO12 | PBE | relaxed

Calculated values
- magnetic moment (μB per formula unit) = 5.1
- space group = Im-3m
- formation energy from raw total energies (eV per atom) = -2.059
- N(E_F) (states/eV/atom) = 0.80

The structure in POSCAR format:
```
K4Pu3BrO12
1.0
7.658 0.000 0.000
-2.553 7.220 0.000
-2.553 -3.610 6.252
Pu Br K O
3 1 4 12
Cartesian
2.553 3.610 0.000 Pu
2.553 -1.805 3.126 Pu
-2.553 1.805 3.126 Pu
0.000 0.000 0.000 Br
1.276 1.805 3.126 K
-1.276 3.610 0.000 K
3.829 0.000 0.000 K
-1.276 -1.805 3.126 K
1.276 -0.902 4.689 O
3.829 2.707 1.563 O
1.276 4.512 1.563 O
3.829 0.000 3.126 O
3.603 -2.548 4.413 O
3.603 5.095 0.000 O
1.502 2.124 0.000 O
-1.276 0.902 4.689 O
-3.603 2.548 4.413 O
-1.502 1.062 1.840 O
-1.276 3.610 3.126 O
1.502 -1.062 1.840 O
```

K2Rb2Br2O | PBE | relaxed

Calculated values
- magnetic moment (μB per formula unit) = 0.0
- space group = I4/mmm
- formation energy from raw total energies (eV per atom) = -1.453

The structure in POSCAR format:
```
K2Rb2Br2O
1.0
-4.572 -0.685 2.518
-1.768 -2.925 -4.005
6.376 -5.415 4.602
Rb Br O K
2 2 1 2
Cartesian
-0.956 -6.790 1.921 Rb
0.992 -2.235 1.194 Rb
-2.270 -3.831 0.340 Br
2.306 -5.193 2.775 Br
0.000 0.000 0.000 O
-2.286 -0.342 1.259 K
-0.884 -1.462 -2.002 K
```

K2RbBrO | PBE | relaxed

Calculated values
- magnetic moment (μB per formula unit) = 0.1
- polymorph energy (0 for the lowest one) (eV/f.u.) = 0.20
- space group = P2_1/m
- formation energy from raw total energies (eV per atom) = -1.264

The structure in POSCAR format:
```
K2RbBrO
1.0
5.117 0.000 0.000
0.000 8.142 -1.388
0.000 -1.954 10.760
O K Rb Br
2 4 2 2
Cartesian
1.279 5.937 7.703 O
3.837 0.251 1.668 O
3.837 6.937 2.259 K
1.279 7.913 -0.423 K
1.279 -0.749 7.113 K
3.837 -1.725 9.795 K
3.837 2.563 2.777 Rb
1.279 3.625 6.594 Rb
3.837 1.175 6.148 Br
1.279 5.013 3.223 Br
```

K2Rb5Br3O2 | PBE | relaxed

Calculated values
- magnetic moment (μB per formula unit) = 0.0
- space group = I4/mmm
- formation energy from raw total energies (eV per atom) = -1.345

The structure in POSCAR format:
```
K2Rb5Br3O2
1.0
5.563 0.000 0.000
0.000 5.563 0.000
-2.781 -2.781 13.824
Rb K Br O
5 2 3 2
Cartesian
2.781 2.781 0.000 Rb
0.000 2.781 2.742 Rb
2.781 0.000 11.081 Rb
2.781 0.000 2.742 Rb
0.000 2.781 11.081 Rb
0.000 0.000 8.468 K
2.781 2.781 5.355 K
0.000 0.000 5.138 Br
2.781 2.781 8.686 Br
0.000 0.000 0.000 Br
2.781 2.781 2.822 O
0.000 0.000 11.002 O
```

KRb2Br2O6 | PBE | relaxed

Calculated values
- magnetic moment (μB per formula unit) = 1.0
- space group = R-3m
- formation energy from raw total energies (eV per atom) = -0.608
- N(E_F) (states/eV/atom) = 0.40

The structure in POSCAR format:
```
KRb2Br2O6
1.0
6.299 0.000 0.000
3.150 5.455 0.000
3.150 1.818 7.197
Br O K Rb
2 6 1 2
Cartesian
6.299 3.637 1.507 Br
6.299 3.637 5.690 Br
6.299 5.350 5.235 O
4.816 2.780 5.235 O
6.299 1.924 1.962 O
7.782 2.780 5.235 O
4.816 4.493 1.962 O
7.782 4.493 1.962 O
0.000 0.000 0.000 K
3.150 1.818 2.931 Rb
9.449 5.455 4.266 Rb
```

K5Rb2Br3O2 | PBE | relaxed

Calculated values
- magnetic moment (μB per formula unit) = 0.0
- space group = I4/mmm
- formation energy from raw total energies (eV per atom) = -1.403

The structure in POSCAR format:
```
K5Rb2Br3O2
1.0
5.266 0.000 0.000
0.000 5.266 0.000
-2.633 -2.633 14.056
Br K O Rb
3 5 2 2
Cartesian
0.000 0.000 5.079 Br
0.000 0.000 0.000 Br
2.633 2.633 8.977 Br
0.000 2.633 2.632 K
0.000 2.633 11.424 K
2.633 0.000 2.632 K
2.633 0.000 11.424 K
2.633 2.633 0.000 K
0.000 0.000 11.391 O
2.633 2.633 2.665 O
2.633 2.633 5.369 Rb
0.000 0.000 8.687 Rb
```

KRb3Br2O | PBE | relaxed

Calculated values
- magnetic moment (μB per formula unit) = 0.0
- space group = Immm
- formation energy from raw total energies (eV per atom) = -1.427

The structure in POSCAR format:
```
KRb3Br2O
1.0
5.271 0.000 0.000
0.000 5.519 0.000
-2.635 -2.760 8.803
Rb O Br K
3 1 2 1
Cartesian
0.000 0.000 2.723 Rb
2.635 2.760 6.080 Rb
0.000 2.760 0.000 Rb
0.000 0.000 0.000 O
2.635 2.760 2.507 Br
0.000 0.000 6.296 Br
2.635 0.000 0.000 K
```

K6RbBrO | PBE | relaxed

Calculated values
- magnetic moment (μB per formula unit) = 0.0
- space group = P312
- formation energy from raw total energies (eV per atom) = -0.671
- N(E_F) (states/eV/atom) = 0.50

The structure in POSCAR format:
```
K6RbBrO
1.0
8.445 0.002 0.000
4.224 7.313 0.000
0.001 -0.002 8.248
K Br Rb O
6 1 1 1
Cartesian
3.450 0.423 5.713 K
6.355 2.775 5.713 K
5.581 4.114 2.535 K
2.865 4.114 5.713 K
4.996 0.422 2.535 K
2.093 2.775 2.535 K
8.445 4.875 4.124 Br
0.002 -0.002 8.248 Rb
4.223 2.437 4.124 O
```